1.
Entry from Alexandria: crystalline La2DyTh4 at its relaxed geometry (PBE).

- symmetry = Cmmm, No. 65
- energy of formation (eV/f.u.) = 0.41
- DFT total energy (eV/atom) = -6.246
- V (Å³ per cell) = 236.6

abc: 18.4971 18.4971 3.5878
angles: 90.00 90.00 168.89
Last column: nearest neighbours and their distance in Å.
Positions (direct):
La (0.2037, 0.7963, 0.0000)  4 Th 3.57, 6 La 3.58-3.85
La (0.7963, 0.2037, 0.0000)  4 Th 3.57, 6 La 3.58-3.85
Dy (0.5000, 0.5000, 0.5000)  4 Dy 3.58-3.59, 8 Th 3.60
Th (0.0696, 0.9304, 0.0000)  8 Th 3.51-3.59, 4 Dy 3.60
Th (0.3644, 0.6356, 0.5000)  8 Th 3.51-3.59, 4 La 3.57
Th (0.6356, 0.3644, 0.5000)  8 Th 3.51-3.59, 4 La 3.57
Th (0.9304, 0.0696, 0.0000)  8 Th 3.51-3.59, 4 Dy 3.60

2.
Entry from Alexandria: crystalline LaDy6Th8 at its relaxed geometry (PBE).

- symmetry = R-3, No. 148
- energy of formation (eV/f.u.) = 2.03
- DFT total energy (eV/atom) = -5.991
- V (Å³ per cell) = 486.2

abc: 8.8100 8.8100 8.8100
angles: 60.24 60.24 60.24
Last column: nearest neighbours and their distance in Å.
Positions (direct):
La (0.0000, 0.0000, 0.0000)  6 Dy 3.52, 6 Th 3.58
Dy (0.0676, 0.5300, 0.2747)  3 Dy 3.36-3.55, 5 Th 3.39-3.72, 1 La 3.52
Dy (0.2747, 0.0676, 0.5300)  3 Dy 3.36-3.55, 5 Th 3.39-3.72, 1 La 3.52
Dy (0.4700, 0.7253, 0.9324)  3 Dy 3.36-3.55, 5 Th 3.39-3.72, 1 La 3.52
Dy (0.5300, 0.2747, 0.0676)  3 Dy 3.36-3.55, 5 Th 3.39-3.72, 1 La 3.52
Dy (0.7253, 0.9324, 0.4700)  3 Dy 3.36-3.55, 5 Th 3.39-3.72, 1 La 3.52
Dy (0.9324, 0.4700, 0.7253)  3 Dy 3.36-3.55, 5 Th 3.39-3.72, 1 La 3.52
Th (0.1223, 0.6633, 0.8079)  6 Th 3.35-3.69, 3 Dy 3.39-3.65, 1 La 3.58
Th (0.1921, 0.8777, 0.3367)  6 Th 3.35-3.69, 3 Dy 3.39-3.65, 1 La 3.58
Th (0.3367, 0.1921, 0.8777)  6 Th 3.35-3.69, 3 Dy 3.39-3.65, 1 La 3.58
Th (0.4225, 0.4225, 0.4225)  4 Th 3.34-3.35, 6 Dy 3.50-3.72
Th (0.5775, 0.5775, 0.5775)  4 Th 3.34-3.35, 6 Dy 3.50-3.72
Th (0.6633, 0.8079, 0.1223)  6 Th 3.35-3.69, 3 Dy 3.39-3.65, 1 La 3.58
Th (0.8079, 0.1223, 0.6633)  6 Th 3.35-3.69, 3 Dy 3.39-3.65, 1 La 3.58
Th (0.8777, 0.3367, 0.1921)  6 Th 3.35-3.69, 3 Dy 3.39-3.65, 1 La 3.58

3.
Entry from Alexandria: crystalline La2Dy15Th2 at its relaxed geometry (PBE).

- symmetry = R-3m, No. 166
- energy of formation (eV/f.u.) = 5.13
- DFT total energy (eV/atom) = -4.663
- V (Å³ per cell) = 645.2

abc: 8.7652 8.7652 8.7652
angles: 79.86 79.86 79.86
Last column: nearest neighbours and their distance in Å.
Positions (direct):
La (0.1740, 0.1740, 0.1740)  15 Dy 3.97-4.30, 1 Th 4.22
La (0.8260, 0.8260, 0.8260)  15 Dy 3.97-4.30, 1 Th 4.22
Dy (0.0000, 0.5000, 0.5000)  8 Dy 3.32-3.40, 2 Th 3.54
Dy (0.1347, 0.1347, 0.6466)  6 Dy 3.32-3.35
Dy (0.1347, 0.6466, 0.1347)  6 Dy 3.32-3.35
Dy (0.2028, 0.5000, 0.7972)  6 Dy 3.34-3.40, 2 Th 3.68
Dy (0.2028, 0.7972, 0.5000)  6 Dy 3.34-3.40, 2 Th 3.68
Dy (0.3534, 0.8653, 0.8653)  6 Dy 3.32-3.35
Dy (0.5000, 0.0000, 0.5000)  8 Dy 3.32-3.40, 2 Th 3.54
Dy (0.5000, 0.2028, 0.7972)  6 Dy 3.34-3.40, 2 Th 3.68
Dy (0.5000, 0.5000, 0.0000)  8 Dy 3.32-3.40, 2 Th 3.54
Dy (0.5000, 0.7972, 0.2028)  6 Dy 3.34-3.40, 2 Th 3.68
Dy (0.6466, 0.1347, 0.1347)  6 Dy 3.32-3.35
Dy (0.7972, 0.2028, 0.5000)  6 Dy 3.34-3.40, 2 Th 3.68
Dy (0.7972, 0.5000, 0.2028)  6 Dy 3.34-3.40, 2 Th 3.68
Dy (0.8653, 0.3534, 0.8653)  6 Dy 3.32-3.35
Dy (0.8653, 0.8653, 0.3534)  6 Dy 3.32-3.35
Th (0.4132, 0.4132, 0.4132)  1 Th 3.06
Th (0.5868, 0.5868, 0.5868)  1 Th 3.06

4.
Entry from Alexandria: crystalline LaDy4Th at its relaxed geometry (PBE).

- symmetry = C2/c, No. 15
- energy of formation (eV/f.u.) = 0.92
- excess energy over the best structure of this formula in the dataset (eV per atom) = 0.120
- DFT total energy (eV/atom) = -4.973
- V (Å³ per cell) = 407.7

abc: 8.5764 8.5764 6.6321
angles: 99.92 99.92 117.61
Last column: nearest neighbours and their distance in Å.
Positions (direct):
La (0.0852, 0.9148, 0.7500)  10 Dy 3.60-4.00
La (0.9148, 0.0852, 0.2500)  10 Dy 3.60-4.00
Dy (0.0733, 0.3376, 0.8763)  3 Dy 3.35-3.47, 2 Th 3.51-3.59, 2 La 3.60-3.63
Dy (0.2168, 0.6004, 0.4673)  2 Th 3.35-3.36, 4 Dy 3.35-3.56, 1 La 3.72
Dy (0.3376, 0.0733, 0.3763)  3 Dy 3.35-3.47, 2 Th 3.51-3.59, 2 La 3.60-3.63
Dy (0.3996, 0.7832, 0.0327)  2 Th 3.35-3.36, 4 Dy 3.35-3.56, 1 La 3.72
Dy (0.6004, 0.2168, 0.9673)  2 Th 3.35-3.36, 4 Dy 3.35-3.56, 1 La 3.72
Dy (0.6624, 0.9267, 0.6237)  3 Dy 3.35-3.47, 2 Th 3.51-3.59, 2 La 3.60-3.63
Dy (0.7832, 0.3996, 0.5327)  2 Th 3.35-3.36, 4 Dy 3.35-3.56, 1 La 3.72
Dy (0.9267, 0.6624, 0.1237)  3 Dy 3.35-3.47, 2 Th 3.51-3.59, 2 La 3.60-3.63
Th (0.4985, 0.5015, 0.2500)  2 Th 3.32, 8 Dy 3.35-3.59
Th (0.5015, 0.4985, 0.7500)  2 Th 3.32, 8 Dy 3.35-3.59

5.
Entry from Alexandria: crystalline La3Dy3Th4 at its relaxed geometry (PBE).

- symmetry = Amm2, No. 38
- energy of formation (eV/f.u.) = 1.94
- DFT total energy (eV/atom) = -5.633
- V (Å³ per cell) = 348.5

abc: 3.8213 9.5494 9.5494
angles: 90.54 90.00 90.00
Last column: nearest neighbours and their distance in Å.
Positions (direct):
La (0.0000, 0.0000, 0.0000)  6 Th 3.37-3.43
La (0.5000, 0.3406, 0.8308)  4 Th 3.69-3.82, 4 La 3.82-4.12, 6 Dy 4.01-4.05
La (0.5000, 0.8308, 0.3406)  4 Th 3.69-3.82, 4 La 3.82-4.12, 6 Dy 4.01-4.05
Dy (0.0000, 0.1706, 0.5000)  6 Th 3.37-3.42
Dy (0.0000, 0.5000, 0.1706)  6 Th 3.37-3.42
Dy (0.0000, 0.6717, 0.6717)  6 Th 3.37-3.41
Th (0.5000, 0.2062, 0.2062)  2 La 3.37, 4 Dy 3.41, 1 Th 3.48
Th (0.5000, 0.4648, 0.4648)  6 Dy 3.37-3.42, 1 Th 3.48, 2 La 3.70
Th (0.5000, 0.7036, 0.9655)  4 Dy 3.37-3.41, 3 La 3.43-3.69, 1 Th 3.55
Th (0.5000, 0.9655, 0.7036)  4 Dy 3.37-3.41, 3 La 3.43-3.69, 1 Th 3.55

6.
Entry from Alexandria: crystalline LaDy2Th at its relaxed geometry (PBE).

- symmetry = R3m, No. 160
- energy of formation (eV/f.u.) = 0.08
- excess energy over the best structure of this formula in the dataset (eV per atom) = 0.003
- DFT total energy (eV/atom) = -5.368
- V (Å³ per cell) = 131.8

abc: 11.8769 11.8769 11.8769
angles: 17.47 17.47 17.47
Last column: nearest neighbours and their distance in Å.
Positions (direct):
La (0.0000, 0.0000, 0.0000)  6 La 3.61, 6 Dy 3.68-3.72
Dy (0.5789, 0.5789, 0.5789)  3 Th 3.48, 6 Dy 3.61, 3 La 3.72
Dy (0.7530, 0.7530, 0.7530)  3 Th 3.48, 6 Dy 3.61, 3 La 3.68
Th (0.1660, 0.1660, 0.1660)  6 Dy 3.48, 6 Th 3.61

7.
Entry from Alexandria: crystalline LaDy2Th at its relaxed geometry (PBE).

- symmetry = P4/mmm, No. 123
- energy of formation (eV/f.u.) = 0.07
- excess energy over the best structure of this formula in the dataset (eV per atom) = 0.000
- DFT total energy (eV/atom) = -5.371
- V (Å³ per cell) = 132.2

abc: 3.6133 3.6133 10.1260
angles: 90.00 90.00 90.00
Last column: nearest neighbours and their distance in Å.
Positions (direct):
La (0.0000, 0.0000, 0.0000)  4 La 3.61, 8 Dy 3.69
Dy (0.5000, 0.5000, 0.2630)  4 Th 3.51, 4 Dy 3.61, 4 La 3.69
Dy (0.5000, 0.5000, 0.7370)  4 Th 3.51, 4 Dy 3.61, 4 La 3.69
Th (0.0000, 0.0000, 0.5000)  8 Dy 3.51, 4 Th 3.61

8.
Entry from Alexandria: crystalline La2Dy2Th at its relaxed geometry (PBE).

- symmetry = Cmmm, No. 65
- energy of formation (eV/f.u.) = 0.32
- excess energy over the best structure of this formula in the dataset (eV per atom) = 0.040
- DFT total energy (eV/atom) = -5.232
- V (Å³ per cell) = 167.9

abc: 9.3266 9.3266 3.5789
angles: 90.00 90.00 147.37
Last column: nearest neighbours and their distance in Å.
Positions (direct):
La (0.1946, 0.8054, 0.0000)  4 La 3.29-3.58, 1 Th 3.48, 4 Dy 3.63
La (0.8054, 0.1946, 0.0000)  4 La 3.29-3.58, 1 Th 3.48, 4 Dy 3.63
Dy (0.4033, 0.5967, 0.5000)  3 Dy 3.46-3.58, 4 Th 3.61, 4 La 3.63
Dy (0.5967, 0.4033, 0.5000)  3 Dy 3.46-3.58, 4 Th 3.61, 4 La 3.63
Th (0.0000, 0.0000, 0.0000)  2 La 3.48, 2 Th 3.58, 8 Dy 3.61